# YTmPbSe PBE-GGA relaxed
# formation energy from raw total energies	-1.084	eV/atom
# total energy	-0.4128	Ry per atom
# crystal system	tetragonal
# V	27.444	Å³/atom
data_YTmPbSe
_cell_length_a 4.275
_cell_length_b 4.275
_cell_length_c 6.005
_cell_angle_alpha 90.00
_cell_angle_beta 90.00
_cell_angle_gamma 90.00
_symmetry_space_group_name_H-M 'P 4/m m m'
_symmetry_Int_Tables_number 123
_symmetry_space_group_name_Hall '-P 4 2'
loop_
_atom_site_label
_atom_site_fract_x
_atom_site_fract_y
_atom_site_fract_z
Y1 0.000 0.000 0.000
Tm1 0.500 0.500 0.500
Pb1 0.500 0.500 0.000
Se1 0.000 0.000 0.500